Computed, not measured: Y2PdCl at its PBEsol-relaxed geometry at the SCAN level of DFT.

a b c (Å): 6.9952 6.9952 6.9952
angles (deg): 90.00 90.00 90.00
With the nearest neighbours (Å) after each atom.
Space group Fm-3m (No. 225)
Asymmetric unit:
Y 0.2500 0.2500 0.2500  4 Cl 3.03, 4 Pd 3.03
Pd 0.0000 0.0000 0.0000  8 Y 3.03
Cl 0.0000 0.0000 0.5000  8 Y 3.03

Values from the calculation:
Total magnetization   8.1 μB per cell
Formation energy from raw total energies   -0.9157 eV/atom
Final energy   -25.03 eV/atom



Computed, not measured: PmCl3 at its PBEsol-relaxed geometry at the SCAN level of DFT.

a b c (Å): 9.3375 9.3375 3.6971
angles (deg): 90.00 90.00 120.00
With the nearest neighbours (Å) after each atom.
Space group P6_3/mmc (No. 194)
Asymmetric unit:
Pm 0.3333 0.6667 0.2500  6 Cl 2.71
Cl 0.2105 0.4210 0.7500  2 Pm 2.71

Values from the calculation:
Total magnetization   0.0 μB per cell
Formation energy from raw total energies   -2.4340 eV/atom
Final energy   -19.41 eV/atom



Computed, not measured: Pr5Cl12 at its PBEsol-relaxed geometry at the SCAN level of DFT.

a b c (Å): 7.9278 7.9278 23.1732
angles (deg): 90.00 90.00 120.00
With the nearest neighbours (Å) after each atom.
Space group P-3 (No. 147)
Asymmetric unit:
Pr 0.0000 0.0000 0.0000  6 Cl 2.90
Pr 0.0000 0.0000 0.1487  6 Cl 2.87-2.93
Pr 0.3333 0.6667 0.1234  9 Cl 2.89-3.05
Pr 0.3333 0.6667 0.2867  9 Cl 2.83-3.07
Pr 0.3333 0.6667 0.4563  9 Cl 2.84-3.15
Pr 0.3333 0.6667 0.6283  9 Cl 2.83-3.14
Pr 0.3333 0.6667 0.7959  9 Cl 2.81-3.12
Pr 0.3333 0.6667 0.9630  9 Cl 2.87-3.04
Cl 0.0684 0.6948 0.0415  4 Pr 2.87-3.04
Cl 0.0736 0.6895 0.8790  4 Pr 2.87-3.05
Cl 0.0754 0.7096 0.2023  4 Pr 2.89-3.12
Cl 0.0818 0.6863 0.7144  3 Pr 2.81-3.07
Cl 0.0900 0.6947 0.3711  3 Pr 2.83-3.14
Cl 0.0936 0.6936 0.5428  3 Pr 2.83-3.15

Values from the calculation:
Total magnetization   2.3 μB per cell
Formation energy from raw total energies   -2.3745 eV/atom
Final energy   -20.75 eV/atom



Computed, not measured: Rb2PrCl5 at its PBEsol-relaxed geometry at the SCAN level of DFT.

a b c (Å): 13.0918 8.8355 8.1656
angles (deg): 90.00 90.00 90.00
With the nearest neighbours (Å) after each atom.
Space group Pnma (No. 62)
Asymmetric unit:
Rb 0.1717 0.0051 0.0552  8 Cl 3.24-3.47
Pr 0.0056 0.2500 0.5729  7 Cl 2.76-2.86
Cl 0.0100 0.2500 0.9123  1 Pr 2.77
Cl 0.0742 0.5427 0.6631  2 Pr 2.83-2.86
Cl 0.1777 0.2500 0.3774  1 Pr 2.76
Cl 0.1999 0.7500 0.3435  1 Pr 2.77

Values from the calculation:
Total magnetization   0.0 μB per cell
Formation energy from raw total energies   -2.4454 eV/atom
Final energy   -18.03 eV/atom